# 1
Compound: CeThTlSn
Source: the Alexandria database
Functional: PBE-GGA
Structure: relaxed Values from VASP.

Properties
The calculated total energy comes out at -5.22 eV per atom. As for the space group: F-43m. The formation energy comes out at -0.29 eV/atom. The density of states at the Fermi level is 2.20 states/eV per atom. The distance to the lowest polymorph of the same formula comes out at 0.086 eV/atom.

```
&SYSTEM
  ibrav = 0, nat = 4, ntyp = 4
/
ATOMIC_SPECIES
Ce 140.12 Ce.upf
Th 232.04 Th.upf
Tl 204.38 Tl.upf
Sn 118.71 Sn.upf
CELL_PARAMETERS angstrom
0.0000 3.8840 3.8840
3.8840 0.0000 3.8840
3.8840 3.8840 0.0000
ATOMIC_POSITIONS angstrom
Ce 0.0000 0.0000 0.0000
Th 3.8840 3.8840 3.8840
Tl 1.9420 1.9420 1.9420
Sn 5.8259 5.8259 5.8259
```

# 2
Compound: CeThTlSn
Source: the Alexandria database
Functional: PBE-GGA
Structure: relaxed Values from VASP.

Properties
The calculated total energy comes out at -5.31 eV per atom. As for the space group: Pmmm. The formation energy comes out at -0.38 eV/atom. The density of states at the Fermi level is 1.87 states/eV per atom. The distance to the lowest polymorph of the same formula comes out at 0.000 eV/atom.

```
&SYSTEM
  ibrav = 0, nat = 4, ntyp = 4
/
ATOMIC_SPECIES
Ce 140.12 Ce.upf
Th 232.04 Th.upf
Tl 204.38 Tl.upf
Sn 118.71 Sn.upf
CELL_PARAMETERS angstrom
4.5342 0.0000 0.0000
0.0000 4.9969 0.0000
0.0000 0.0000 5.0303
ATOMIC_POSITIONS angstrom
Ce 0.0000 0.0000 0.0000
Th 0.0000 2.4984 2.5152
Tl 2.2671 2.4984 0.0000
Sn 2.2671 0.0000 2.5152
```

# 3
Compound: CeTh2Zn2Sn2
Source: the Alexandria database
Functional: PBE-GGA
Structure: relaxed Values from VASP.

Properties
The calculated total energy comes out at -4.66 eV per atom. As for the space group: R-3m. The formation energy comes out at -0.18 eV/atom. The density of states at the Fermi level is 1.42 states/eV per atom.

```
&SYSTEM
  ibrav = 0, nat = 7, ntyp = 4
/
ATOMIC_SPECIES
Ce 140.12 Ce.upf
Th 232.04 Th.upf
Zn 65.41 Zn.upf
Sn 118.71 Sn.upf
CELL_PARAMETERS angstrom
2.3091 1.3332 10.1466
-2.3091 1.3332 10.1466
0.0000 -2.6663 10.1466
ATOMIC_POSITIONS angstrom
Ce 0.0000 0.0000 0.0000
Th 0.0000 0.0000 3.9175
Th 0.0000 0.0000 26.5222
Zn 0.0000 0.0000 12.5559
Zn 0.0000 0.0000 17.8838
Sn 0.0000 0.0000 8.2691
Sn 0.0000 0.0000 22.1706
```

# 4
Compound: CeThZrSn
Source: the Alexandria database
Functional: PBE-GGA
Structure: relaxed Values from VASP.

Properties
The calculated total energy comes out at -6.65 eV per atom. As for the space group: F-43m. The formation energy comes out at -0.17 eV/atom. The density of states at the Fermi level is 2.17 states/eV per atom.

```
&SYSTEM
  ibrav = 0, nat = 4, ntyp = 4
/
ATOMIC_SPECIES
Ce 140.12 Ce.upf
Th 232.04 Th.upf
Zr 91.22 Zr.upf
Sn 118.71 Sn.upf
CELL_PARAMETERS angstrom
0.0000 3.7451 3.7451
3.7451 0.0000 3.7451
3.7451 3.7451 0.0000
ATOMIC_POSITIONS angstrom
Ce 0.0000 0.0000 0.0000
Th 5.6177 5.6177 5.6177
Zr 3.7451 3.7451 3.7451
Sn 1.8726 1.8726 1.8726
```

# 5
Compound: CeTiSn2
Source: the Alexandria database
Functional: PBE-GGA
Structure: relaxed Values from VASP.

Properties
The calculated total energy comes out at -5.79 eV per atom. As for the space group: P4/mmm. The formation energy comes out at -0.33 eV/atom. The density of states at the Fermi level is 1.60 states/eV per atom.

```
&SYSTEM
  ibrav = 0, nat = 4, ntyp = 3
/
ATOMIC_SPECIES
Ce 140.12 Ce.upf
Ti 47.87 Ti.upf
Sn 118.71 Sn.upf
CELL_PARAMETERS angstrom
4.6170 0.0000 0.0000
0.0000 4.6170 0.0000
0.0000 0.0000 4.4860
ATOMIC_POSITIONS angstrom
Ce 0.0000 0.0000 0.0000
Ti 2.3085 2.3085 0.0000
Sn 0.0000 2.3085 2.2430
Sn 2.3085 0.0000 2.2430
```

# 6
Compound: CeTi2Sn
Source: the Alexandria database
Functional: PBE-GGA
Structure: relaxed Values from VASP.

Properties
The calculated total energy comes out at -6.64 eV per atom. As for the space group: P4/mmm. The formation energy comes out at -0.20 eV/atom. The density of states at the Fermi level is 1.59 states/eV per atom. The distance to the lowest polymorph of the same formula comes out at 0.000 eV/atom.

```
&SYSTEM
  ibrav = 0, nat = 4, ntyp = 3
/
ATOMIC_SPECIES
Ce 140.12 Ce.upf
Ti 47.87 Ti.upf
Sn 118.71 Sn.upf
CELL_PARAMETERS angstrom
4.5948 0.0000 0.0000
0.0000 4.5948 0.0000
0.0000 0.0000 3.8668
ATOMIC_POSITIONS angstrom
Ce 0.0000 0.0000 0.0000
Ti 0.0000 2.2974 1.9334
Ti 2.2974 0.0000 1.9334
Sn 2.2974 2.2974 0.0000
```

# 7
Compound: CeTi2Sn
Source: the Alexandria database
Functional: PBE-GGA
Structure: relaxed Values from VASP.

Properties
The calculated total energy comes out at -6.59 eV per atom. As for the space group: Fm-3m. The formation energy comes out at -0.16 eV/atom. The density of states at the Fermi level is 2.24 states/eV per atom. The distance to the lowest polymorph of the same formula comes out at 0.046 eV/atom.

```
&SYSTEM
  ibrav = 0, nat = 4, ntyp = 3
/
ATOMIC_SPECIES
Ce 140.12 Ce.upf
Ti 47.87 Ti.upf
Sn 118.71 Sn.upf
CELL_PARAMETERS angstrom
0.0000 3.4260 3.4260
3.4260 0.0000 3.4260
3.4260 3.4260 0.0000
ATOMIC_POSITIONS angstrom
Ce 0.0000 0.0000 0.0000
Ti 1.7130 1.7130 1.7130
Ti 5.1390 5.1390 5.1390
Sn 3.4260 3.4260 3.4260
```

# 8
Compound: CeTiSn2
Source: the Alexandria database
Functional: PBE-GGA
Structure: relaxed Values from VASP.

Properties
The calculated total energy comes out at -5.71 eV per atom. As for the space group: R-3m. The formation energy comes out at -0.25 eV/atom. The density of states at the Fermi level is 1.22 states/eV per atom.

```
&SYSTEM
  ibrav = 0, nat = 4, ntyp = 3
/
ATOMIC_SPECIES
Ce 140.12 Ce.upf
Ti 47.87 Ti.upf
Sn 118.71 Sn.upf
CELL_PARAMETERS angstrom
1.6364 0.9448 10.0824
-1.6364 0.9448 10.0824
0.0000 -1.8896 10.0824
ATOMIC_POSITIONS angstrom
Ce 0.0000 0.0000 0.0000
Ti 0.0000 0.0000 15.1236
Sn 0.0000 0.0000 7.3008
Sn 0.0000 0.0000 22.9463
```

# 9
Compound: CeTiSn2
Source: the Alexandria database
Functional: PBE-GGA
Structure: relaxed Values from VASP.

Properties
The calculated total energy comes out at -5.81 eV per atom. As for the space group: P4/mmm. The formation energy comes out at -0.35 eV/atom. The density of states at the Fermi level is 1.60 states/eV per atom.

```
&SYSTEM
  ibrav = 0, nat = 4, ntyp = 3
/
ATOMIC_SPECIES
Ce 140.12 Ce.upf
Ti 47.87 Ti.upf
Sn 118.71 Sn.upf
CELL_PARAMETERS angstrom
3.7104 0.0000 0.0000
0.0000 3.7104 0.0000
0.0000 0.0000 6.9431
ATOMIC_POSITIONS angstrom
Ce 0.0000 0.0000 0.0000
Ti 0.0000 0.0000 3.4715
Sn 1.8552 1.8552 2.0075
Sn 1.8552 1.8552 4.9355
```

# 10
Compound: CeTiZnSn
Source: the Alexandria database
Functional: PBE-GGA
Structure: relaxed Values from VASP.

Properties
The calculated total energy comes out at -5.00 eV per atom. As for the space group: F-43m. The formation energy comes out at -0.22 eV/atom. The density of states at the Fermi level is 1.83 states/eV per atom.

```
&SYSTEM
  ibrav = 0, nat = 4, ntyp = 4
/
ATOMIC_SPECIES
Ce 140.12 Ce.upf
Ti 47.87 Ti.upf
Zn 65.41 Zn.upf
Sn 118.71 Sn.upf
CELL_PARAMETERS angstrom
0.0000 3.5461 3.5461
3.5461 0.0000 3.5461
3.5461 3.5461 0.0000
ATOMIC_POSITIONS angstrom
Ce 0.0000 0.0000 0.0000
Ti 3.5461 3.5461 3.5461
Zn 5.3191 5.3191 5.3191
Sn 1.7730 1.7730 1.7730
```

# 11
Compound: CeZrTiSn
Source: the Alexandria database
Functional: PBE-GGA
Structure: relaxed Values from VASP.

Properties
The calculated total energy comes out at -6.74 eV per atom. As for the space group: F-43m. The formation energy comes out at -0.15 eV/atom. The density of states at the Fermi level is 1.58 states/eV per atom.

```
&SYSTEM
  ibrav = 0, nat = 4, ntyp = 4
/
ATOMIC_SPECIES
Ce 140.12 Ce.upf
Zr 91.22 Zr.upf
Ti 47.87 Ti.upf
Sn 118.71 Sn.upf
CELL_PARAMETERS angstrom
0.0000 3.5254 3.5254
3.5254 0.0000 3.5254
3.5254 3.5254 0.0000
ATOMIC_POSITIONS angstrom
Ce 0.0000 0.0000 0.0000
Zr 5.2881 5.2881 5.2881
Ti 1.7627 1.7627 1.7627
Sn 3.5254 3.5254 3.5254
```

# 12
Compound: Ce4TlSn3
Source: the Alexandria database
Functional: PBE-GGA
Structure: relaxed Values from VASP.

Properties
The calculated total energy comes out at -5.27 eV per atom. As for the space group: Fmmm. The formation energy comes out at -0.51 eV/atom. The density of states at the Fermi level is 2.79 states/eV per atom.

```
&SYSTEM
  ibrav = 0, nat = 8, ntyp = 3
/
ATOMIC_SPECIES
Ce 140.12 Ce.upf
Tl 204.38 Tl.upf
Sn 118.71 Sn.upf
CELL_PARAMETERS angstrom
0.0000 4.1571 6.5136
4.1480 0.0000 6.5136
4.1480 4.1571 0.0000
ATOMIC_POSITIONS angstrom
Ce 2.0740 2.0785 1.6766
Ce 2.0740 2.0785 4.8370
Ce 6.2219 6.2356 8.1902
Ce 6.2219 6.2356 11.3506
Tl 0.0000 0.0000 0.0000
Sn 4.1480 4.1571 3.2611
Sn 4.1480 4.1571 6.5136
Sn 4.1480 4.1571 9.7661
```